This record from Alexandria via LeMat-Bulk describes a relaxed structure of BaIn2Ga. The functional is PBE.

a = 5.3751 Å, b = 5.3751 Å, c = 10.5221 Å
α = 75.20°, β = 75.20°, γ = 90.00°
Fractional coordinates of all 8 atoms:
1 Ga 0.5000 0.5000 0.0000
2 Ga 0.2500 0.7500 0.5000
3 Ba 0.7500 0.2500 0.5000
4 In 0.4725 0.1250 0.2500
5 Ba 0.0000 0.0000 0.0000
6 In 0.3750 0.5275 0.7500
7 In 0.8750 0.7225 0.7500
8 In 0.2775 0.6250 0.2500

Values from the calculation:
**Calculated formation energy**: -0.165 eV per atom